{"formula": "LaY2Sb", "functional": "GGA-PBE", "state": "relaxed", "lattice_angstrom": [[-2.396, 2.396, 5.150], [2.396, -2.396, 5.150], [2.396, 2.396, -5.150]], "species": ["La", "Y", "Y", "Sb"], "fractional_positions": [[0.000, 0.000, 0.000], [0.250, 0.750, 0.500], [0.750, 0.250, 0.500], [0.500, 0.500, 0.000]], "vol_a3_per_atom": 29.6, "final_energy_ev_per_atom": -5.968, "magmom_total_mub_per_fu": 0.00, "space_group": "I4/mmm (139)"}